Compound: FeP3
Source: the Alexandria database
Functional: PBEsol
Structure: optimized geometry

a b c (Å): 3.4404 3.4404 18.0278
angles (deg): 90.00 90.00 90.00
Closest atoms and distances in Å follow each position.
Space group I4/mmm (No. 139)
Symmetry-distinct sites (fractional):
Fe1 0.0000 0.0000 0.1759 [4 per cell]  4 P 2.18
P1 0.0000 0.0000 0.3955 [4 per cell]  4 P 2.55, 4 Fe 2.75
P2 0.0000 0.5000 0.0000 [4 per cell]  8 P 2.43-2.55
P3 0.0000 0.5000 0.2500 [4 per cell]  4 Fe 2.18, 4 P 2.43

Calculated values
Energy of formation from the pure elements, kJ per mole of atoms: 17
Energy relative to the lowest polymorph listed for this composition, meV per atom: 187
Magnetic moment, μB per cell: 0.00
Density of states at the Fermi level, states/eV/cell: 5.1
Calculated density, Mg/m³: 4.63

Compound: FeP3
Source: the Alexandria database
Functional: PBEsol
Structure: optimized geometry

a b c (Å): 7.0288 9.9482 3.5795
angles (deg): 90.00 90.00 90.00
Closest atoms and distances in Å follow each position.
Space group Cmcm (No. 63)
Symmetry-distinct sites (fractional):
Fe1 0.0000 0.0832 0.2500 [4 per cell]  8 P 2.31-2.51, 2 Fe 2.44
P1 0.0000 0.2606 0.7500 [4 per cell]  2 P 2.21
P2 0.2106 0.0955 0.7500 [8 per cell]  1 P 2.21, 3 Fe 2.31-2.33

Calculated values
Energy of formation from the pure elements, kJ per mole of atoms: -1
Energy relative to the lowest polymorph listed for this composition, meV per atom: 0
Magnetic moment, μB per cell: 0.00
Density of states at the Fermi level, states/eV/cell: 3.7
Calculated density, Mg/m³: 3.95

Compound: FePPb2
Source: the Alexandria database
Functional: PBEsol
Structure: optimized geometry

a b c (Å): 3.5683 3.5683 6.4058
angles (deg): 90.00 90.00 90.00
Closest atoms and distances in Å follow each position.
Space group P4/mmm (No. 123)
Symmetry-distinct sites (fractional):
Fe1 0.0000 0.0000 0.0000 [1 per cell]  8 Pb 2.97, 2 P 3.20
P1 0.0000 0.0000 0.5000 [1 per cell]  8 Pb 3.01, 2 Fe 3.20
Pb1 0.5000 0.5000 0.2437 [2 per cell]  4 Fe 2.97, 4 P 3.01, 2 Pb 3.12-3.28

Calculated values
Energy of formation from the pure elements, kJ per mole of atoms: 60
Magnetic moment, μB per cell: 2.68
Density of states at the Fermi level, states/eV/cell: 4.7
Calculated density, Mg/m³: 10.20

Compound: FePPb2
Source: the Alexandria database
Functional: PBEsol
Structure: optimized geometry

a b c (Å): 4.2711 3.8906 5.4237
angles (deg): 90.00 113.24 90.00
Closest atoms and distances in Å follow each position.
Space group Pm (No. 6)
Symmetry-distinct sites (fractional):
Fe1 0.0000 0.0000 0.0000 [1 per cell]  2 P 2.21
P1 0.1071 0.5000 0.2106 [1 per cell]  2 Fe 2.21
Pb1 0.4027 0.5000 0.8031 [1 per cell]  3 P 2.95, 4 Fe 3.05
Pb2 0.7022 0.0000 0.4021 [1 per cell]  3 Fe 2.93-2.98, 4 P 3.04

Calculated values
Energy of formation from the pure elements, kJ per mole of atoms: 17
Magnetic moment, μB per cell: 1.77
Density of states at the Fermi level, states/eV/cell: 2.7
Calculated density, Mg/m³: 10.05

Compound: FePPb2
Source: the Alexandria database
Functional: PBEsol
Structure: optimized geometry

a b c (Å): 4.4380 4.4380 8.5965
angles (deg): 90.00 90.00 90.00
Closest atoms and distances in Å follow each position.
Space group I4/mmm (No. 139)
Symmetry-distinct sites (fractional):
Fe1 0.0000 0.0000 0.0000 [2 per cell]  8 Pb 3.09, 4 P 3.14
P1 0.0000 0.0000 0.5000 [2 per cell]  8 Pb 3.09, 4 Fe 3.14
Pb1 0.0000 0.5000 0.2500 [4 per cell]  4 Fe 3.09, 4 P 3.09, 4 Pb 3.14

Calculated values
Energy of formation from the pure elements, kJ per mole of atoms: 68
Magnetic moment, μB per cell: 5.37
Density of states at the Fermi level, states/eV/cell: 10.0
Calculated density, Mg/m³: 9.83

Compound: TlFe2PPb
Source: the Alexandria database
Functional: PBEsol
Structure: optimized geometry

a b c (Å): 4.8725 4.8725 5.0610
angles (deg): 90.00 90.00 90.00
Closest atoms and distances in Å follow each position.
Space group P4/mmm (No. 123)
Symmetry-distinct sites (fractional):
Tl1 0.0000 0.0000 0.0000 [1 per cell]  4 Fe 2.44, 2 P 2.53
Fe1 0.0000 0.5000 0.0000 [2 per cell]  2 Tl 2.44
P1 0.0000 0.0000 0.5000 [1 per cell]  2 Tl 2.53
Pb1 0.5000 0.5000 0.5000 [1 per cell]  4 P 3.45, 8 Fe 3.51

Calculated values
Energy of formation from the pure elements, kJ per mole of atoms: 143
Magnetic moment, μB per cell: 5.55
Density of states at the Fermi level, states/eV/cell: 7.8
Calculated density, Mg/m³: 7.66

Compound: FePPd2Rh
Source: the Alexandria database
Functional: PBEsol
Structure: optimized geometry

a b c (Å): 4.3800 4.3800 4.2773
angles (deg): 90.00 90.00 90.00
Closest atoms and distances in Å follow each position.
Space group P4/mmm (No. 123)
Symmetry-distinct sites (fractional):
Fe1 0.0000 0.0000 0.0000 [1 per cell]  8 Pd 3.06, 4 Rh 3.10
P1 0.5000 0.5000 0.5000 [1 per cell]  2 Rh 2.14, 4 Pd 2.19
Pd1 0.0000 0.5000 0.5000 [2 per cell]  2 P 2.19
Rh1 0.5000 0.5000 0.0000 [1 per cell]  2 P 2.14

Calculated values
Energy of formation from the pure elements, kJ per mole of atoms: 29
Magnetic moment, μB per cell: 3.63
Density of states at the Fermi level, states/eV/cell: 8.7
Calculated density, Mg/m³: 8.15

Compound: PrFe4P12
Source: the Alexandria database
Functional: PBEsol
Structure: optimized geometry

a b c (Å): 7.7294 7.7294 7.7294
angles (deg): 90.00 90.00 90.00
Closest atoms and distances in Å follow each position.
Space group Im-3 (No. 204)
Symmetry-distinct sites (fractional):
Pr1 0.0000 0.0000 0.0000 [2 per cell]  12 P 2.97
Fe1 0.2500 0.2500 0.2500 [8 per cell]  6 P 2.22
P1 0.0000 0.1533 0.3529 [24 per cell]  2 Fe 2.22, 2 P 2.27-2.37

Calculated values
Energy of formation from the pure elements, kJ per mole of atoms: -68
Magnetic moment, μB per cell: 0.00
Density of states at the Fermi level, states/eV/cell: 12.0
Calculated density, Mg/m³: 5.29

Q: Which of these has the highest magnetic moment?
A: TlFe2PPb

Copy entry 2 word for word.
Compound: FeP3
Source: the Alexandria database
Functional: PBEsol
Structure: optimized geometry

a b c (Å): 7.0288 9.9482 3.5795
angles (deg): 90.00 90.00 90.00
Closest atoms and distances in Å follow each position.
Space group Cmcm (No. 63)
Symmetry-distinct sites (fractional):
Fe1 0.0000 0.0832 0.2500 [4 per cell]  8 P 2.31-2.51, 2 Fe 2.44
P1 0.0000 0.2606 0.7500 [4 per cell]  2 P 2.21
P2 0.2106 0.0955 0.7500 [8 per cell]  1 P 2.21, 3 Fe 2.31-2.33

Calculated values
Energy of formation from the pure elements, kJ per mole of atoms: -1
Energy relative to the lowest polymorph listed for this composition, meV per atom: 0
Magnetic moment, μB per cell: 0.00
Density of states at the Fermi level, states/eV/cell: 3.7
Calculated density, Mg/m³: 3.95

Q: Which formula does entry 5 have?
A: FePPb2

Copy entry 6 word for word.
Compound: TlFe2PPb
Source: the Alexandria database
Functional: PBEsol
Structure: optimized geometry

a b c (Å): 4.8725 4.8725 5.0610
angles (deg): 90.00 90.00 90.00
Closest atoms and distances in Å follow each position.
Space group P4/mmm (No. 123)
Symmetry-distinct sites (fractional):
Tl1 0.0000 0.0000 0.0000 [1 per cell]  4 Fe 2.44, 2 P 2.53
Fe1 0.0000 0.5000 0.0000 [2 per cell]  2 Tl 2.44
P1 0.0000 0.0000 0.5000 [1 per cell]  2 Tl 2.53
Pb1 0.5000 0.5000 0.5000 [1 per cell]  4 P 3.45, 8 Fe 3.51

Calculated values
Energy of formation from the pure elements, kJ per mole of atoms: 143
Magnetic moment, μB per cell: 5.55
Density of states at the Fermi level, states/eV/cell: 7.8
Calculated density, Mg/m³: 7.66